AgHgRu2: relaxed, PBE.

```
AgHgRu2
1.0
2.856 0.000 0.000
0.000 2.856 0.000
0.000 0.000 8.201
Ag Hg Ru
1 1 2
direct
0.000 0.000 0.000
0.500 0.500 0.284
0.000 0.000 0.549
0.500 0.500 0.742
```

Results
calculated total energy: -5.145 eV per atom
space group: P4mm, No. 99
V: 16.72 Å³ per atom